No. 1
Compound: MoCl3
Source: Alexandria
Functional: PBEsol
Structure: optimized geometry

E above lowest polymorph = 0.771 eV per atom
ΔE_f (raw) = -0.108 eV per atom

Lattice parameters (Å, degrees): 2.9233 3.1548 8.5021 90.00 90.00 90.00
Space group Pmm2 (No. 25)
Asymmetric unit:
Mo 0.0000 0.0000 0.0000 x1
Cl 0.0000 0.5000 0.8013 x1
Cl 0.5000 0.0000 0.4875 x1
Cl 0.5000 0.5000 0.1584 x1



No. 2
Compound: LiMnPO5
Source: Alexandria
Functional: PBEsol
Structure: optimized geometry

ΔE_f (raw) = -2.039 eV per atom

Lattice parameters (Å, degrees): 5.0788 5.1955 6.8273 106.41 107.13 100.11
Space group P-1 (No. 2)
Asymmetric unit:
Li 0.2237 0.3450 0.2458 x2
Mn 0.5000 0.0000 0.0000 x1
Mn 0.5000 0.0000 0.5000 x1
P 0.1802 0.3502 0.7408 x2
O 0.1268 0.7773 0.4312 x2
O 0.1899 0.6590 0.8478 x2
O 0.2437 0.2134 0.9171 x2
O 0.3912 0.0467 0.2366 x2
O 0.3994 0.3359 0.6227 x2



No. 3
Compound: Nd2Ga7Pd
Source: Alexandria
Functional: PBEsol
Structure: optimized geometry

energy relative to the elements = -0.62 eV/atom

Lattice parameters (Å, degrees): 4.2079 4.2079 10.5897 90.00 90.00 90.00
Space group P-4m2 (No. 115)
Asymmetric unit:
Nd 0.0000 0.5000 0.2492 x2
Ga 0.0000 0.0000 0.0000 x1
Ga 0.0000 0.0000 0.5000 x1
Ga 0.0000 0.5000 0.6400 x2
Ga 0.0000 0.5000 0.8698 x2
Ga 0.5000 0.5000 0.5000 x1
Pd 0.5000 0.5000 0.0000 x1



No. 4
Compound: In2IrRu
Source: Alexandria
Functional: PBEsol
Structure: optimized geometry

energy relative to the elements = 0.39 eV/atom

Lattice parameters (Å, degrees): 6.4534 6.4534 6.4534 90.00 90.00 90.00
Space group F-43m (No. 216)
Asymmetric unit:
In 0.0000 0.0000 0.0000 x4
In 0.2500 0.2500 0.2500 x4
Ir 0.0000 0.0000 0.5000 x4
Ru 0.2500 0.2500 0.7500 x4



No. 5
Compound: Ag2HgMo
Source: Alexandria
Functional: PBEsol
Structure: optimized geometry

energy relative to the elements = 0.45 eV/atom

Lattice parameters (Å, degrees): 2.7591 4.1241 5.9822 90.00 90.00 90.00
Space group Pmm2 (No. 25)
Asymmetric unit:
Ag 0.0000 0.0000 0.0000 x1
Ag 0.5000 0.5000 0.2438 x1
Hg 0.0000 0.0000 0.5103 x1
Mo 0.5000 0.5000 0.7611 x1



No. 6
Compound: Ba5Bi3
Source: Alexandria
Functional: PBEsol
Structure: optimized geometry

energy relative to the elements = -0.91 eV/atom

Lattice parameters (Å, degrees): 10.1577 10.1577 7.7734 90.00 90.00 120.00
Space group P6_3/mcm (No. 193)
Asymmetric unit:
Ba 0.0000 0.2552 0.2500 x6
Ba 0.3333 0.6667 0.0000 x4
Bi 0.0000 0.3912 0.7500 x6



Number 1: density 4.28 g cm⁻³. Number 2: density 3.62 g cm⁻³. Number 3: density 7.82 g cm⁻³. Number 4: density 12.92 g cm⁻³. Number 5: density 12.50 g cm⁻³. Number 6: density 6.28 g cm⁻³.